# 1
Compound: WBr
Source: Alexandria
Functional: PBE-GGA
Structure: relaxed

Values from the calculation:
For the total magnetization, the calculation gives 0.0000 μB per atom. Its total energy is -12.174 eV per formula unit. Its polymorph energy (0 for the lowest one) is 1144 meV per atom. The value obtained for the formation energy from raw total energies is 118.3 kJ per mole of atoms. Its density is 8.2 g/cm3.

Cell and atoms, written as CIF:
```
data_WBr
_symmetry_space_group_name_H-M 'P 42/m n m'
_symmetry_Int_Tables_number 136
_symmetry_space_group_name_Hall '-P 4n 2n'
_cell_length_a 8.406
_cell_length_b 8.406
_cell_length_c 3.007
_cell_angle_alpha 90.00
_cell_angle_beta 90.00
_cell_angle_gamma 90.00
loop_
_atom_site_label
_atom_site_type_symbol
_atom_site_fract_x
_atom_site_fract_y
_atom_site_fract_z
_atom_site_occupancy
W1 W 0.098 0.098 0.000 1
Br1 Br 0.205 0.795 0.000 1
```

# 2
Compound: LaFe2Cl
Source: Alexandria
Functional: PBE-GGA
Structure: relaxed

Values from the calculation:
For the total magnetization, the calculation gives 1.3456 μB per atom. Its total energy is -24.073 eV per formula unit. Its polymorph energy (0 for the lowest one) is 117 meV per atom. The value obtained for the formation energy from raw total energies is -9.0 kJ per mole of atoms. Its density is 5.9 g/cm3.

Cell and atoms, written as CIF:
```
data_LaFe2Cl
_symmetry_space_group_name_H-M 'C 1 2/m 1'
_symmetry_Int_Tables_number 12
_cell_length_a 11.446
_cell_length_b 3.717
_cell_length_c 3.994
_cell_angle_alpha 90.00
_cell_angle_beta 109.59
_cell_angle_gamma 90.00
loop_
_symmetry_equiv_pos_as_xyz
'x,y,z'
'-x,-y,-z'
'-x,y,-z'
'x,-y,z'
'x+1/2,y+1/2,z'
'-x+1/2,-y+1/2,-z'
'-x+1/2,y+1/2,-z'
'x+1/2,-y+1/2,z'
loop_
_atom_site_label
_atom_site_type_symbol
_atom_site_fract_x
_atom_site_fract_y
_atom_site_fract_z
_atom_site_occupancy
La1 La 0.000 0.000 0.000 1
Fe1 Fe 0.228 0.500 0.759 1
Cl1 Cl 0.000 0.500 0.500 1
```

# 3
Compound: Na5In5Pb2
Source: Alexandria
Functional: PBE-GGA
Structure: relaxed

Values from the calculation:
For the total magnetization, the calculation gives 0.0000 μB per atom. As for the formation energy: -0.1005 eV/atom. Its total energy is -28.910 eV per formula unit. Its density is 5.6 g/cm3.

Cell and atoms, written as CIF:
```
data_Na5In5Pb2
_symmetry_space_group_name_H-M 'C 1 2/m 1'
_symmetry_Int_Tables_number 12
_cell_length_a 17.631
_cell_length_b 3.386
_cell_length_c 13.441
_cell_angle_alpha 90.00
_cell_angle_beta 124.84
_cell_angle_gamma 90.00
loop_
_symmetry_equiv_pos_as_xyz
'x,y,z'
'-x,-y,-z'
'-x,y,-z'
'x,-y,z'
'x+1/2,y+1/2,z'
'-x+1/2,-y+1/2,-z'
'-x+1/2,y+1/2,-z'
'x+1/2,-y+1/2,z'
loop_
_atom_site_label
_atom_site_type_symbol
_atom_site_fract_x
_atom_site_fract_y
_atom_site_fract_z
_atom_site_occupancy
Na1 Na 0.000 0.000 0.000 1
Na2 Na 0.161 0.500 0.496 1
Na3 Na 0.168 0.500 0.749 1
In1 In 0.000 0.000 0.500 1
In2 In 0.006 0.000 0.754 1
In3 In 0.168 0.500 0.997 1
Pb1 Pb 0.165 0.500 0.250 1
```

# 4
Compound: RbNbSi2S8
Source: Alexandria
Functional: PBE-GGA
Structure: relaxed

Values from the calculation:
For the total magnetization, the calculation gives 0.1557 μB per atom. Its total energy is -61.185 eV per formula unit. The value obtained for the formation energy from raw total energies is -50.5 kJ per mole of atoms. Its density is 2.8 g/cm3.

Cell and atoms, written as CIF:
```
data_RbNbSi2S8
_symmetry_space_group_name_H-M 'P -3'
_symmetry_Int_Tables_number 147
_cell_length_a 6.1646
_cell_length_b 6.1646
_cell_length_c 8.9217
_cell_angle_alpha 90.00
_cell_angle_beta 90.00
_cell_angle_gamma 120.00
loop_
_symmetry_equiv_pos_as_xyz
'x,y,z'
'-x,-y,-z'
'-y,x-y,z'
'y,-x+y,-z'
'-x+y,-x,z'
'x-y,x,-z'
loop_
_atom_site_label
_atom_site_type_symbol
_atom_site_fract_x
_atom_site_fract_y
_atom_site_fract_z
_atom_site_occupancy
Rb1 Rb 0.0000 0.0000 0.0000 1
Nb1 Nb 0.0000 0.0000 0.5000 1
Si1 Si 0.3333 0.6667 0.7194 1
S1 S 0.0022 0.6682 0.3462 1
S2 S 0.3333 0.6667 0.9556 1
```

- What is the density in the first record?
  8.2 g/cm3

- The lowest density belongs to which entry?
  RbNbSi2S8

- Number 3 is which compound?
  Na5In5Pb2